1.
Entry from Alexandria via LeMat-Bulk: a geometry-optimized IrRhSe2 structure (GGA-PBEsol).

a = 2.835 Å, b = 2.847 Å, c = 9.583 Å
α = 90.00°, β = 90.00°, γ = 119.87°
Atoms (fractional coordinates):
Ir 0.000 0.000 0.506
Rh 0.500 0.000 0.746
Se 0.000 0.000 0.958
Se 0.500 0.000 0.290

## Properties
symmetry: Cmm2 (35)

2.
Entry from Alexandria via LeMat-Bulk: a geometry-optimized IrRhSe2 structure (GGA-PBEsol).

a = 2.864 Å, b = 4.381 Å, c = 4.970 Å
α = 90.00°, β = 90.00°, γ = 90.00°
Atoms (fractional coordinates):
Ir 0.500 0.500 0.000
Rh 0.000 0.500 0.500
Se 0.000 0.000 0.000
Se 0.500 0.000 0.500

## Properties
symmetry: Pmmm (47)

3.
Entry from Alexandria via LeMat-Bulk: a geometry-optimized IrRhSe2 structure (GGA-PBEsol).

a = 3.518 Å, b = 3.518 Å, c = 7.348 Å
α = 76.15°, β = 76.15°, γ = 60.00°
Atoms (fractional coordinates):
Ir 0.494 0.494 0.518
Rh 0.257 0.257 0.230
Se 0.978 0.978 0.067
Se 0.772 0.772 0.684

## Properties
symmetry: R3m (160)

4.
Entry from Alexandria via LeMat-Bulk: a geometry-optimized Ir4RhSe structure (GGA-PBEsol).

a = 5.121 Å, b = 5.121 Å, c = 5.121 Å
α = 60.00°, β = 60.00°, γ = 60.00°
Atoms (fractional coordinates):
Ir 0.375 0.375 0.375
Ir 0.375 0.375 0.874
Ir 0.874 0.375 0.375
Ir 0.375 0.874 0.375
Rh 0.750 0.750 0.750
Se 0.000 0.000 0.000

## Properties
symmetry: F-43m (216)

| no. | formation energy without anion corrections (eV per atom) | magnetic moment (μB per atom) | density of states at the Fermi level (states/eV per cell) |
| --- | --- | --- | --- |
| 1 | 0.3386 | 0.000 | 4.74 |
| 2 | 0.4558 | 0.000 | 3.44 |
| 3 | -0.0173 | 0.000 | 2.18 |
| 4 | 0.8449 | 0.001 | 11.00 |